Compound: AgTePbO
Source: the Open Quantum Materials Database
Functional: PBE-GGA
Structure: optimized geometry

energy relative to the lowest polymorph listed for this composition = 38.0 kJ per mole of atoms
final energy = -3.77 eV per atom
V = 24.1 A^3/atom
mass density = 7891 kg/m³

abc: 4.1547 4.1547 12.9121
angles: 90.00 90.00 120.00
Space group P6_3mc (No. 186)
Unique sites:
Ag 0.3333 0.6667 0.0000 [2 per cell]
Te 0.3333 0.6667 0.3679 [2 per cell]
Pb 0.0000 0.0000 0.2209 [2 per cell]
O 0.0000 0.0000 0.0543 [2 per cell]


Compound: AgTePbO
Source: the Open Quantum Materials Database
Functional: PBE-GGA
Structure: optimized geometry

energy relative to the lowest polymorph listed for this composition = 35.5 kJ per mole of atoms
final energy = -3.80 eV per atom
V = 22.6 A^3/atom
mass density = 8435 kg/m³

abc: 4.410 4.410 9.284
angles: 90.00 90.00 90.00
Space group P4/nmm (No. 129, origin choice 2)
Unique sites:
Ag 0.250 0.250 0.045 [2 per cell]
Te 0.250 0.250 0.369 [2 per cell]
Pb 0.250 0.250 0.717 [2 per cell]
O 0.250 0.750 0.000 [2 per cell]